No. 1
## ScAs2Au (PBE-GGA)

Data for crystalline ScAs2Au at its relaxed geometry.

Lattice parameters (Å, degrees): 4.5304 4.5173 3.6275 90.00 90.00 90.00
Positions (direct):
1 As 0.5000 0.5000 0.0000
2 As 0.0000 0.0000 0.0000
3 Au 0.5000 0.0000 0.5000
4 Sc 0.0000 0.5000 0.5000

Energy of formation = -0.52 eV/atom
Electronic total energy = -5.246 eV per atom
Crystal system = orthorhombic

No. 2
## ScAs2Au (PBE-GGA)

Data for crystalline ScAs2Au at its relaxed geometry.

Lattice parameters (Å, degrees): 5.3342 5.3342 4.2675 77.27 77.27 40.23
Positions (direct):
1 As 0.0006 0.0006 0.0764
2 Au 0.4927 0.4927 0.5623
3 Sc 0.2660 0.2660 0.1739
4 As 0.7406 0.7406 0.6874

Energy of formation = -0.55 eV/atom
Electronic total energy = -5.275 eV per atom
Crystal system = monoclinic

No. 3
## Sc2AsAu (PBE-GGA)

Data for crystalline Sc2AsAu at its relaxed geometry.

Lattice parameters (Å, degrees): 9.1790 9.1790 9.1790 22.46 22.46 22.46
Positions (direct):
1 Sc 0.0974 0.0974 0.0974
2 Sc 0.9026 0.9026 0.9026
3 Au 0.5000 0.5000 0.5000
4 As 0.0000 0.0000 0.0000

Energy of formation = -0.22 eV/atom
Electronic total energy = -5.367 eV per atom
Crystal system = trigonal

No. 4
## ScAsAuSe2 (PBE-GGA)

Data for crystalline ScAsAuSe2 at its relaxed geometry.

Lattice parameters (Å, degrees): 5.1050 5.1050 4.8992 90.00 90.00 90.00
Positions (direct):
1 As 0.0000 0.0000 0.5000
2 Au 0.0000 0.0000 0.0000
3 Se 0.0000 0.5000 0.0000
4 Sc 0.5000 0.5000 0.5000
5 Se 0.5000 0.0000 0.0000

Electronic total energy = -4.032 eV per atom
Crystal system = tetragonal
Formation energy (no corrections) = 214 meV/atom
E above lowest polymorph = 86.4 meV per atom